(1)
# La2YErP4 (GGA-PBE, relaxed)
# ΔH_f (0 K) = -1.58 eV per atom
# V = 24.976 Å³ per atom
# DOS at the Fermi energy = 0.087 states/eV per atom
# crystal system = monoclinic
# mass density = 5.467 g/cm3
# calculated total energy = -6.8981 eV per atom
data_La2YErP4
_symmetry_space_group_name_H-M 'P 1'
_symmetry_Int_Tables_number 1
_symmetry_space_group_name_Hall 'P 1'
_cell_length_a 7.1552
_cell_length_b 4.1364
_cell_length_c 7.1605
_cell_angle_alpha 90.00
_cell_angle_beta 109.47
_cell_angle_gamma 90.00
loop_
_atom_site_label
_atom_site_type_symbol
_atom_site_fract_x
_atom_site_fract_y
_atom_site_fract_z
_atom_site_occupancy
La1 La 0.0000 0.0000 0.0000 1
La2 La 0.0000 0.5000 0.5000 1
Y1 Y 0.5000 0.0000 0.5000 1
Er1 Er 0.5000 0.5000 0.0000 1
P1 P 0.2642 0.5000 0.2533 1
P2 P 0.2651 0.0000 0.7564 1
P3 P 0.7349 0.0000 0.2436 1
P4 P 0.7358 0.5000 0.7467 1



(2)
# Ca3Pm2DySe6 (GGA-PBE, relaxed)
# V = 25.737 Å³ per atom
# energy relative to the elements, uncorrected = -1.8942 eV/atom
# DOS at the Fermi energy = 0.376 states/eV per atom
# crystal system = monoclinic
# mass density = 5.627 g/cm3
# calculated total energy = -5.3121 eV per atom
data_Ca3Pm2DySe6
_symmetry_space_group_name_H-M 'P 1'
_symmetry_Int_Tables_number 1
_symmetry_space_group_name_Hall 'P 1'
_cell_length_a 7.1843
_cell_length_b 7.1843
_cell_length_c 7.3110
_cell_angle_alpha 99.46
_cell_angle_beta 99.46
_cell_angle_gamma 119.94
loop_
_atom_site_label
_atom_site_type_symbol
_atom_site_fract_x
_atom_site_fract_y
_atom_site_fract_z
_atom_site_occupancy
Ca1 Ca 0.0000 0.0000 0.0000 1
Ca2 Ca 0.3315 0.6685 0.0000 1
Ca3 Ca 0.6685 0.3315 0.0000 1
Pm1 Pm 0.1660 0.8340 0.5000 1
Pm2 Pm 0.8340 0.1660 0.5000 1
Dy1 Dy 0.5000 0.5000 0.5000 1
Se1 Se 0.0896 0.4165 0.2490 1
Se2 Se 0.2575 0.2575 0.7518 1
Se3 Se 0.4165 0.0896 0.2490 1
Se4 Se 0.5835 0.9104 0.7510 1
Se5 Se 0.7425 0.7425 0.2482 1
Se6 Se 0.9104 0.5835 0.7510 1



Q: The highest calculated total energy belongs to which entry?
A: Ca3Pm2DySe6